Sc6Mn2Cd | PBE | relaxed

abc: 7.8564 7.8564 7.8564
angles: 111.21 110.62 106.62
Last column: nearest neighbours and their distance in Å.
Fractional positions:
1 Sc 0.0166 0.2344 0.7822  2 Mn 2.64-2.91, 1 Cd 2.94
2 Sc 0.1906 0.2871 0.4777  3 Mn 2.75-3.06, 1 Cd 3.07
3 Sc 0.1906 0.7129 0.9036  3 Mn 2.75-3.06, 1 Cd 3.07
4 Sc 0.3113 0.0202 0.7089  3 Mn 2.64-2.78
5 Sc 0.3113 0.6024 0.2911  3 Mn 2.64-2.78
6 Sc 0.4522 0.2344 0.2178  2 Mn 2.64-2.91, 1 Cd 2.94
7 Sc 0.5478 0.7656 0.7822  2 Mn 2.64-2.91, 1 Cd 2.94
8 Sc 0.6887 0.3976 0.7089  3 Mn 2.64-2.78
9 Sc 0.6887 0.9798 0.2911  3 Mn 2.64-2.78
10 Sc 0.8094 0.2871 0.0964  3 Mn 2.75-3.06, 1 Cd 3.07
11 Sc 0.8094 0.7129 0.5223  3 Mn 2.75-3.06, 1 Cd 3.07
12 Sc 0.9834 0.7656 0.2178  2 Mn 2.64-2.91, 1 Cd 2.94
13 Mn 0.1113 0.6113 0.5000  1 Mn 2.09
14 Mn 0.3799 0.0000 0.3799  1 Mn 2.15
15 Mn 0.6201 0.0000 0.6201  1 Mn 2.15
16 Mn 0.8887 0.3887 0.5000  1 Mn 2.09
17 Cd 0.0000 0.0000 0.0000  8 Sc 2.94-3.07
18 Cd 0.5000 0.5000 0.0000  12 Sc 3.13-3.35

Calculated values
**E_tot**: -115.8 eV/cell
**DOS at the Fermi energy**: 23.95 states/eV/cell
**Spin magnetization**: 2.97 μB/cell
**Volume**: 20.70 Å³ per atom
**ΔH_f (0 K)**: -0.0730 eV per atom